Compound: RbScSe2F
Source: Alexandria
Functional: PBE-GGA
Structure: optimized geometry

- E_form (uncorrected) (eV per atom) = -1.828
- density of states at the Fermi level (states/eV/cell) = 4.52
- V (Å³ per atom) = 24.02

abc: 5.3426 5.3426 4.2070
angles: 90.00 90.00 90.00
Closest atoms and distances in Å follow each position.
Space group P4/mmm (No. 123)
Asymmetric unit:
Rb: 0.0000 0.0000 0.0000 (multiplicity 1)  8 Se 3.40, 4 F 3.78
Sc: 0.5000 0.5000 0.5000 (multiplicity 1)  2 F 2.10
Se: 0.0000 0.5000 0.5000 (multiplicity 2)  2 Sc 2.67
F: 0.5000 0.5000 0.0000 (multiplicity 1)  2 Sc 2.10